1.
VASP calculation (PBE) on a geometry-optimized MnP2Rh structure.

a b c (Å): 4.4475 2.9133 3.9519
angles (deg): 89.99 90.00 90.00
With the nearest neighbours (Å) after each atom.
Element x y z (fractional)
Mn 0.5000 0.8753 0.7740  6 P 2.37-2.50
P 0.0000 0.8750 0.9827  2 Mn 2.37, 4 Rh 2.45-2.46
P 0.5000 0.3746 0.2587  2 Rh 2.40, 4 Mn 2.41-2.50
Rh 0.0000 0.3751 0.4846  6 P 2.40-2.46

## Properties
Space-group type: Pmm2 (25)
Total moment: 1.430 μB/f.u.
Calculated formation energy: -0.37 eV/atom

=====

2.
VASP calculation (PBE) on a geometry-optimized MnPRuRh structure.

a b c (Å): 4.2201 4.2201 4.2201
angles (deg): 60.00 60.00 60.00
With the nearest neighbours (Å) after each atom.
Element x y z (fractional)
Ru 0.7500 0.7500 0.7500  4 Mn 2.58, 4 P 2.58
Mn 0.5000 0.5000 0.5000  4 Ru 2.58, 4 Rh 2.58
Rh 0.2500 0.2500 0.2500  4 Mn 2.58, 4 P 2.58
P 0.0000 0.0000 0.0000  4 Ru 2.58, 4 Rh 2.58

## Properties
Space-group type: F-43m (216)
Total moment: 4.898 μB/f.u.
Calculated formation energy: -0.22 eV/atom

=====

- Which value of calculated formation energy does entry 1 give?
  -0.37 eV/atom

=====

Please write out number 2 again, unchanged.
VASP calculation (PBE) on a geometry-optimized MnPRuRh structure.

a b c (Å): 4.2201 4.2201 4.2201
angles (deg): 60.00 60.00 60.00
With the nearest neighbours (Å) after each atom.
Element x y z (fractional)
Ru 0.7500 0.7500 0.7500  4 Mn 2.58, 4 P 2.58
Mn 0.5000 0.5000 0.5000  4 Ru 2.58, 4 Rh 2.58
Rh 0.2500 0.2500 0.2500  4 Mn 2.58, 4 P 2.58
P 0.0000 0.0000 0.0000  4 Ru 2.58, 4 Rh 2.58

## Properties
Space-group type: F-43m (216)
Total moment: 4.898 μB/f.u.
Calculated formation energy: -0.22 eV/atom

=====

- Which value of total moment does entry 2 give?
  4.898 μB/f.u.

=====

- The highest calculated formation energy belongs to which entry?
  MnPRuRh